Density functional theory data (PBE with a Hubbard U) for DyV3O9 after structural relaxation.

Results
Final energy: -7.68 eV/atom
Total magnetic moment: 0.00 μB per formula unit

Cell lengths 8.9039, 11.8274, 7.5907 Å; angles 90.00, 90.00, 90.00 degrees
With the nearest neighbours (Å) after each atom.
Space group C222_1 (No. 20)
Asymmetric unit:
Dy: 0.1020 0.0000 0.0000 x4  8 O 2.31-2.56
V: 0.0327 0.3203 0.4702 x8  4 O 1.68-1.81
V: 0.2466 0.5000 0.0000 x4  4 O 1.71-1.79
O: 0.0000 0.3650 0.2500 x4  2 V 1.78
O: 0.0156 0.1790 0.4848 x8  1 V 1.68
O: 0.1263 0.3881 0.9259 x8  2 V 1.79-1.81
O: 0.1396 0.0192 0.6796 x8  1 V 1.71
O: 0.2014 0.3736 0.5309 x8  1 V 1.69